Pm2Pa3N8: relaxed, GGA-PBE.

The structure in POSCAR format:
```
Pm2Pa3N8
1.0
5.864 0.000 0.083
0.000 7.063 0.000
-2.264 -3.532 5.342
N Pm Pa
8 2 3
direct
0.610 0.095 0.765
0.083 0.898 0.796
0.390 0.330 0.235
0.069 0.393 0.786
0.931 0.607 0.214
0.917 0.102 0.204
0.390 0.905 0.235
0.610 0.670 0.765
0.355 0.283 0.567
0.645 0.717 0.433
0.000 0.738 0.000
0.500 0.000 0.000
0.000 0.262 0.000
```

Output
Formation energy (no corrections) = -1.136 eV/atom
VASP energy = -9.18 eV/atom
Spin magnetization = 0.00 μB/cell
DOS at the Fermi energy = 0.7393 states/eV/atom